1.
This record from Alexandria via LeMat-Bulk describes a relaxed Ac2IrSe crystal. The functional is PBE.

```
Ac2IrSe
1.0
-3.347 1.799 -2.062
-0.256 -0.221 -4.310
-5.147 -6.156 -1.548
Ir Se Ac
1 1 2
Direct
0.667 0.667 0.998
0.499 0.499 0.502
0.260 0.260 0.219
0.073 0.073 0.781
```

Calculated values
**Total moment**: 0.00 μB per formula unit
**DFT total energy**: -6.34 eV/atom
**Excess energy over the best structure of this formula in the dataset**: 0.067 eV per atom
**Raw formation energy**: -4.81 eV/f.u.
**Space group**: R3m, No. 160



2.
This record from Alexandria via LeMat-Bulk describes a relaxed Ac4IrSe3 crystal. The functional is PBE.

```
Ac4IrSe3
1.0
4.364 0.000 0.000
0.000 7.455 -2.476
0.000 0.001 7.855
Se Ir Ac
3 1 4
Direct
0.000 0.500 0.000
0.000 0.000 0.500
0.500 0.500 0.500
0.500 0.000 0.000
0.500 0.242 0.758
0.500 0.758 0.242
0.000 0.225 0.225
0.000 0.775 0.775
```

Calculated values
**Total moment**: 0.00 μB per formula unit
**DFT total energy**: -6.04 eV/atom
**Raw formation energy**: -12.56 eV/f.u.
**Space group**: Cmmm, No. 65



3.
This record from Alexandria via LeMat-Bulk describes a relaxed Ac4TeIrSe2 crystal. The functional is PBE.

```
Ac4TeIrSe2
1.0
4.427 0.000 0.000
0.000 8.070 0.263
0.000 -2.699 7.418
Ir Ac Te Se
1 4 1 2
Direct
0.500 0.500 0.000
0.000 0.718 0.227
0.000 0.282 0.773
0.500 0.728 0.750
0.500 0.272 0.250
0.000 0.000 0.000
0.000 0.500 0.500
0.500 0.000 0.500
```

Calculated values
**Total moment**: 0.00 μB per formula unit
**DFT total energy**: -5.87 eV/atom
**Raw formation energy**: -11.59 eV/f.u.
**Space group**: P2/m, No. 10



4.
This record from Alexandria via LeMat-Bulk describes a relaxed Ac6Te3Ir2Se crystal. The functional is PBE.

```
Ac6Te3Ir2Se
1.0
-4.284 -0.093 6.527
7.757 -0.785 0.419
-0.419 8.129 -1.747
Ac Ir Te Se
6 2 3 1
Direct
0.931 0.577 0.785
0.423 0.069 0.215
0.577 0.931 0.785
0.069 0.423 0.215
0.717 0.717 0.212
0.283 0.283 0.788
0.332 0.668 0.000
0.668 0.332 0.000
0.159 0.841 0.500
0.500 0.500 0.500
0.841 0.159 0.500
0.000 0.000 0.000
```

Calculated values
**Total moment**: 0.00 μB per formula unit
**DFT total energy**: -5.94 eV/atom
**Raw formation energy**: -15.95 eV/f.u.
**Space group**: C2/m, No. 12



5.
This record from Alexandria via LeMat-Bulk describes a relaxed Ac6TeIr2Se3 crystal. The functional is PBE.

```
Ac6TeIr2Se3
1.0
-5.655 -4.637 2.631
3.172 -1.307 -6.974
6.034 -2.467 4.690
Ac Se Te Ir
6 3 1 2
Direct
0.287 0.287 0.767
0.558 0.924 0.768
0.442 0.076 0.232
0.713 0.713 0.233
0.076 0.442 0.232
0.924 0.558 0.768
0.156 0.844 0.500
0.844 0.156 0.500
0.500 0.500 0.500
0.000 0.000 0.000
0.332 0.668 0.000
0.668 0.332 0.000
```

Calculated values
**Total moment**: 0.00 μB per formula unit
**DFT total energy**: -6.08 eV/atom
**Raw formation energy**: -16.96 eV/f.u.
**Space group**: C2/m, No. 12



6.
This record from Alexandria via LeMat-Bulk describes a relaxed Ac6Te3IrSe2 crystal. The functional is PBE.

```
Ac6Te3IrSe2
1.0
7.945 0.017 0.000
-3.956 6.890 0.000
-1.331 -2.304 7.665
Ir Ac Te Se
1 6 3 2
Direct
0.000 0.000 0.000
0.240 0.240 0.774
0.927 0.614 0.780
0.386 0.073 0.220
0.073 0.386 0.220
0.614 0.927 0.780
0.760 0.760 0.226
0.824 0.176 0.500
0.500 0.500 0.500
0.176 0.824 0.500
0.335 0.665 0.000
0.665 0.335 0.000
```

Calculated values
**Total moment**: 0.00 μB per formula unit
**DFT total energy**: -5.67 eV/atom
**Raw formation energy**: -18.11 eV/f.u.
**Space group**: C2/m, No. 12



7.
This record from Alexandria via LeMat-Bulk describes a relaxed Ac8Te4IrSe3 crystal. The functional is PBE.

```
Ac8Te4IrSe3
1.0
9.172 0.000 0.000
0.000 9.315 0.094
-4.586 -4.582 6.488
Se Ac Te Ir
3 8 4 1
Direct
0.000 0.500 0.500
0.500 0.500 0.500
0.500 0.500 0.000
0.758 0.720 0.989
0.231 0.720 0.462
0.769 0.280 0.011
0.231 0.720 0.989
0.769 0.280 0.538
0.242 0.280 0.011
0.256 0.269 0.512
0.744 0.731 0.488
0.500 0.000 0.000
0.500 0.000 0.500
0.000 0.000 0.000
0.000 0.000 0.500
0.000 0.500 0.000
```

Calculated values
**Total moment**: 0.00 μB per formula unit
**DFT total energy**: -5.60 eV/atom
**Raw formation energy**: -24.89 eV/f.u.
**Space group**: R-3m, No. 166



8.
This record from Alexandria via LeMat-Bulk describes a relaxed Ac6TeIr3Se2 crystal. The functional is PBE.

```
Ac6TeIr3Se2
1.0
4.388 0.000 0.000
0.000 9.205 0.023
-2.194 -2.973 9.512
Te Ac Se Ir
1 6 2 3
Direct
0.500 0.000 0.000
0.338 0.402 0.676
0.006 0.724 0.012
0.994 0.276 0.988
0.662 0.598 0.324
0.323 0.930 0.646
0.677 0.070 0.354
0.833 0.666 0.666
0.167 0.334 0.334
0.834 0.169 0.667
0.166 0.831 0.333
0.500 0.500 0.000
```

Calculated values
**Total moment**: 0.00 μB per formula unit
**DFT total energy**: -6.31 eV/atom
**Raw formation energy**: -14.43 eV/f.u.
**Space group**: C2/m, No. 12